# 1
A plane-wave DFT calculation with PBE was carried out for an optimized crystal structure of NaEr2N.

Lattice parameters (Å, degrees): 9.7541 9.7541 9.7541 20.24 20.24 20.24
Last column: nearest neighbours and their distance in Å.
Atoms (fractional coordinates):
1 Na 0.0000 0.0000 0.0000  6 Na 3.43, 2 Er 3.46
2 Er 0.1208 0.1208 0.1208  3 N 2.38
3 Er 0.8792 0.8792 0.8792  3 N 2.38
4 N 0.5000 0.5000 0.5000  6 Er 2.38

Values from the calculation:
Total magnetic moment (μB/cell): 0.006
Formation energy without anion corrections (eV/f.u.): -2.7

***

# 2
A plane-wave DFT calculation with PBE was carried out for an optimized crystal structure of LiY2In.

Lattice parameters (Å, degrees): 11.7320 11.7320 11.7320 157.72 157.72 31.71
Last column: nearest neighbours and their distance in Å.
Atoms (fractional coordinates):
1 Li 0.0000 0.0000 0.0000  4 In 3.21, 4 Y 3.26
2 Li 0.7500 0.2500 0.5000  4 In 3.21, 4 Y 3.26
3 Y 0.1360 0.6250 0.0110  4 Y 3.14-3.28, 2 In 3.23, 2 Li 3.26
4 Y 0.3750 0.3860 0.5110  4 Y 3.14-3.28, 2 In 3.23, 2 Li 3.26
5 Y 0.6140 0.1250 0.9890  4 Y 3.14-3.28, 2 In 3.23, 2 Li 3.26
6 Y 0.8750 0.8640 0.4890  4 Y 3.14-3.28, 2 In 3.23, 2 Li 3.26
7 In 0.2500 0.7500 0.5000  4 Li 3.21, 4 Y 3.23
8 In 0.5000 0.5000 0.0000  4 Li 3.21, 4 Y 3.23

Values from the calculation:
ΔH_f (0 K) (meV per atom): 213
Total magnetic moment (μB/cell): 0.000

***

# 3
A plane-wave DFT calculation with PBE was carried out for an optimized crystal structure of DyHo2In4.

Lattice parameters (Å, degrees): 6.4077 6.4077 6.4077 109.33 109.33 109.75
Last column: nearest neighbours and their distance in Å.
Atoms (fractional coordinates):
1 Dy 0.0000 0.0000 0.0000  8 In 3.20
2 Ho 0.0000 0.5000 0.5000  8 In 3.20
3 Ho 0.5000 0.0000 0.5000  8 In 3.20
4 In 0.0000 0.0000 0.5000  4 Ho 3.20, 2 Dy 3.20
5 In 0.0000 0.5000 0.0000  4 Ho 3.20, 2 Dy 3.20
6 In 0.5000 0.0000 0.0000  4 Ho 3.20, 2 Dy 3.20
7 In 0.5000 0.5000 0.5000  4 Ho 3.20, 2 Dy 3.20

Values from the calculation:
ΔH_f (0 K) (meV per atom): -319
Total magnetic moment (μB/cell): 0.000

***

# 4
A plane-wave DFT calculation with PBE was carried out for an optimized crystal structure of LiTiGa.

Lattice parameters (Å, degrees): 2.8556 2.8556 12.0403 90.00 90.00 90.00
Last column: nearest neighbours and their distance in Å.
Atoms (fractional coordinates):
1 Li 0.0000 0.0000 0.0000  4 Ga 2.68, 8 Li 2.86-2.99
2 Li 0.5000 0.5000 0.1836  8 Li 2.86-2.99, 4 Ti 3.08
3 Ti 0.0000 0.0000 0.3769  4 Ga 2.75, 4 Ti 2.86
4 Ti 0.0000 0.0000 0.6928  8 Ga 2.80, 4 Ti 2.86
5 Ga 0.5000 0.5000 0.5319  8 Ti 2.75-2.80, 4 Ga 2.86
6 Ga 0.5000 0.5000 0.8537  4 Li 2.68, 4 Ti 2.80, 4 Ga 2.86

Values from the calculation:
ΔH_f (0 K) (meV per atom): -229
Energy relative to the lowest polymorph listed for this composition (meV/atom): 55.7
Total magnetic moment (μB/cell): 0.000